This record from the Alexandria database describes Ho6InHg5 after structural relaxation. The functional is PBE.

POSCAR file:
```
Ho6InHg5
1.0
-2.6193 3.7240 7.8807
2.6193 -3.7240 7.8807
2.6193 3.7240 -7.8807
Ho In Hg
6 1 5
Cartesian
2.6193 1.8487 -2.6515 Ho
0.0000 1.8316 0.0000 Ho
2.6193 1.8487 2.6515 Ho
0.0000 1.8753 5.2292 Ho
0.0000 5.6164 0.0000 Ho
0.0000 1.8753 10.5321 Ho
0.0000 0.0000 7.8807 In
2.6193 0.0000 0.0000 Hg
0.0000 0.0000 2.6229 Hg
2.6193 0.0000 5.3037 Hg
0.0000 3.7240 2.5770 Hg
0.0000 0.0000 13.1384 Hg
```

Summary:
As for the space-group type: Immm. Its total magnetic moment is 0.0 μB/cell. The energy comes out at -37.401 eV for the cell shown.